A geometry-optimized LaH3Pd structure, computed with PBE.

The total energy comes out at -4.313 eV/atom. As for the magnetization: 0.0 μB per formula unit. The volume is 262 Å³/cell. The value obtained for the density of states at the Fermi level is 0.1 states/eV/f.u.

It has space group I-4m2 (No. 119), with a = 4.1959 Å, b = 4.1959 Å, c = 14.8754 Å, α = 90.00°, β = 90.00° and γ = 90.00°. The inequivalent atoms are La at (0.0000, 0.0000, 0.1126), H at (0.0000, 0.2442, 0.3455), H at (0.0000, 0.5000, 0.5111), Pd at (0.0000, 0.0000, 0.5000) and Pd at (0.0000, 0.5000, 0.2500).

---

A geometry-optimized LaH2Pd structure, computed with PBE.

The total energy comes out at -4.652 eV/atom. As for the magnetization: 0.0 μB per formula unit. The calculation puts the energy relative to the lowest polymorph listed for this composition at 116 meV per atom. The volume is 223 Å³/cell. The value obtained for the density of states at the Fermi level is 0.6 states/eV/f.u.

It has space group I-42d (No. 122), with a = 4.5175 Å, b = 4.5175 Å, c = 10.9269 Å, α = 90.00°, β = 90.00° and γ = 90.00°. The inequivalent atoms are La at (0.0000, 0.0000, 0.0000), H at (0.0876, 0.2500, 0.6250) and Pd at (0.0000, 0.0000, 0.5000).

---

A geometry-optimized La2HPd structure, computed with PBE.

The total energy comes out at -5.085 eV/atom. As for the magnetization: 0.0 μB per formula unit. The calculation puts the energy relative to the lowest polymorph listed for this composition at 22 meV per atom. The volume is 371 Å³/cell. The value obtained for the density of states at the Fermi level is 3.4 states/eV/f.u.

It has space group I-42d (No. 122), with a = 6.9846 Å, b = 6.9846 Å, c = 7.6098 Å, α = 90.00°, β = 90.00° and γ = 90.00°. The inequivalent atoms are La at (0.1869, 0.2500, 0.1250), H at (0.0000, 0.0000, 0.0000) and Pd at (0.0000, 0.0000, 0.5000).

---

A geometry-optimized La3HPd structure, computed with PBE.

The total energy comes out at -4.893 eV/atom. As for the magnetization: 0.0 μB per formula unit. The calculation puts the energy relative to the lowest polymorph listed for this composition at 0 meV per atom. The volume is 124 Å³/cell. The value obtained for the density of states at the Fermi level is 6.4 states/eV/f.u.

It has space group Pm-3m (No. 221), with a = 4.9808 Å, b = 4.9808 Å, c = 4.9808 Å, α = 90.00°, β = 90.00° and γ = 90.00°. The inequivalent atoms are La at (0.0000, 0.0000, 0.5000), H at (0.0000, 0.0000, 0.0000) and Pd at (0.5000, 0.5000, 0.5000).

---

A geometry-optimized LaH3Pd structure, computed with PBE.

The total energy comes out at -4.300 eV/atom. As for the magnetization: 0.0 μB per formula unit. The volume is 954 Å³/cell. The value obtained for the density of states at the Fermi level is 2.8 states/eV/f.u.

It has space group Fd-3m (No. 227, origin choice 2), with a = 9.8429 Å, b = 9.8429 Å, c = 9.8429 Å, α = 90.00°, β = 90.00° and γ = 90.00°. The inequivalent atoms are La at (0.0000, 0.0000, 0.0000), H at (0.0627, 0.3750, 0.8750) and Pd at (0.0000, 0.0000, 0.5000).

---

A geometry-optimized LaH3Pd structure, computed with PBE.

The total energy comes out at -4.505 eV/atom. As for the magnetization: 0.0 μB per formula unit. The volume is 129 Å³/cell. The value obtained for the density of states at the Fermi level is 0.0 states/eV/f.u.

It has space group P2_1/m (No. 11), with a = 4.1846 Å, b = 5.2959 Å, c = 5.8053 Å, α = 90.00°, β = 90.81° and γ = 90.00°. The inequivalent atoms are La at (0.2205, 0.2500, 0.2276), H at (0.2631, 0.5436, 0.6408), H at (0.2804, 0.7500, 0.0781) and Pd at (0.3664, 0.2500, 0.7457).

---

A geometry-optimized La2HPd structure, computed with PBE.

The total energy comes out at -4.915 eV/atom. As for the magnetization: 0.0 μB per formula unit. The calculation puts the energy relative to the lowest polymorph listed for this composition at 193 meV per atom. The volume is 361 Å³/cell. The value obtained for the density of states at the Fermi level is 5.5 states/eV/f.u.

It has space group Fm-3m (No. 225), with a = 7.1201 Å, b = 7.1201 Å, c = 7.1201 Å, α = 90.00°, β = 90.00° and γ = 90.00°. The inequivalent atoms are La at (0.2500, 0.2500, 0.2500), H at (0.0000, 0.0000, 0.0000) and Pd at (0.0000, 0.0000, 0.5000).

---

A geometry-optimized LaH3Pd structure, computed with PBE.

The total energy comes out at -4.559 eV/atom. As for the magnetization: 0.0 μB per formula unit. The volume is 493 Å³/cell. The value obtained for the density of states at the Fermi level is 0.7 states/eV/f.u.

It has space group C2/c (No. 15), with a = 8.0920 Å, b = 9.7726 Å, c = 6.6062 Å, α = 90.00°, β = 109.39° and γ = 90.00°. The inequivalent atoms are La at (0.0000, 0.0841, 0.2500), La at (0.0000, 0.3394, 0.7500), H at (0.0642, 0.1275, 0.6175), H at (0.1804, 0.4747, 0.5198), H at (0.1824, 0.2449, 0.1219) and Pd at (0.1886, 0.3662, 0.3193).